The following is a DFT calculation (GGA-PBE) of crystalline BSbTe2 at its relaxed geometry.

## Properties
Polymorph energy (0 for the lowest one) ... 2.17 eV/f.u.
Energy relative to the elements, uncorrected ... 1.089 eV/atom
Space-group type ... No. 225

Cell: 5.1687 5.1687 5.1687 Å, 60.00 60.00 60.00°
Positions (direct):
B (0.0000, 0.0000, 0.0000)
Sb (0.5000, 0.5000, 0.5000)
Te (0.2500, 0.2500, 0.2500)
Te (0.7500, 0.7500, 0.7500)

The following is a DFT calculation (GGA-PBE) of crystalline BSbTe2 at its relaxed geometry.

## Properties
Polymorph energy (0 for the lowest one) ... 0.33 eV/f.u.
Energy relative to the elements, uncorrected ... 0.628 eV/atom
Space-group type ... No. 166

Cell: 9.4104 9.4104 9.4104 Å, 21.52 21.52 21.52°
Positions (direct):
B (0.0000, 0.0000, 0.0000)
Sb (0.5000, 0.5000, 0.5000)
Te (0.3863, 0.3863, 0.3863)
Te (0.6137, 0.6137, 0.6137)

The following is a DFT calculation (GGA-PBE) of crystalline BSbTe2 at its relaxed geometry.

## Properties
Polymorph energy (0 for the lowest one) ... 0.91 eV/f.u.
Energy relative to the elements, uncorrected ... 0.774 eV/atom
Space-group type ... No. 166

Cell: 8.7581 8.7581 8.7581 Å, 27.86 27.86 27.86°
Positions (direct):
B (0.0000, 0.0000, 0.0000)
Sb (0.5000, 0.5000, 0.5000)
Te (0.0823, 0.0823, 0.0823)
Te (0.9177, 0.9177, 0.9177)

The following is a DFT calculation (GGA-PBE) of crystalline B3SbTe at its relaxed geometry.

## Properties
Polymorph energy (0 for the lowest one) ... 0.47 eV/f.u.
Energy relative to the elements, uncorrected ... 2.007 eV/atom
Space-group type ... No. 221

Cell: 4.4773 4.4773 4.4773 Å, 90.00 90.00 90.00°
Positions (direct):
B (0.0000, 0.0000, 0.5000)
B (0.0000, 0.5000, 0.0000)
B (0.5000, 0.0000, 0.0000)
Sb (0.5000, 0.5000, 0.5000)
Te (0.0000, 0.0000, 0.0000)

The following is a DFT calculation (GGA-PBE) of crystalline BSbTe2 at its relaxed geometry.

## Properties
Polymorph energy (0 for the lowest one) ... 0.00 eV/f.u.
Energy relative to the elements, uncorrected ... 0.547 eV/atom
Space-group type ... No. 122

Cell: 6.6834 6.6834 6.6834 Å, 118.51 118.51 92.60°
Positions (direct):
B (0.0000, 0.0000, 0.0000)
B (0.7500, 0.2500, 0.5000)
Sb (0.2500, 0.7500, 0.5000)
Sb (0.5000, 0.5000, 0.0000)
Te (0.0365, 0.6250, 0.9115)
Te (0.3750, 0.2865, 0.4115)
Te (0.7135, 0.1250, 0.0885)
Te (0.8750, 0.9635, 0.5885)

The following is a DFT calculation (GGA-PBE) of crystalline BSbTe3 at its relaxed geometry.

## Properties
Polymorph energy (0 for the lowest one) ... 0.00 eV/f.u.
Energy relative to the elements, uncorrected ... 0.627 eV/atom
Space-group type ... No. 221

Cell: 4.9310 4.9310 4.9310 Å, 90.00 90.00 90.00°
Positions (direct):
B (0.0000, 0.0000, 0.0000)
Sb (0.5000, 0.5000, 0.5000)
Te (0.0000, 0.0000, 0.5000)
Te (0.0000, 0.5000, 0.0000)
Te (0.5000, 0.0000, 0.0000)

The following is a DFT calculation (GGA-PBE) of crystalline B3SbTe at its relaxed geometry.

## Properties
Polymorph energy (0 for the lowest one) ... 0.00 eV/f.u.
Energy relative to the elements, uncorrected ... 1.913 eV/atom
Space-group type ... No. 221

Cell: 4.5580 4.5580 4.5580 Å, 90.00 90.00 90.00°
Positions (direct):
B (0.0000, 0.0000, 0.5000)
B (0.0000, 0.5000, 0.0000)
B (0.5000, 0.0000, 0.0000)
Sb (0.0000, 0.0000, 0.0000)
Te (0.5000, 0.5000, 0.5000)

The following is a DFT calculation (GGA-PBE) of crystalline BSbTe3 at its relaxed geometry.

## Properties
Polymorph energy (0 for the lowest one) ... 3.96 eV/f.u.
Energy relative to the elements, uncorrected ... 1.419 eV/atom
Space-group type ... No. 221

Cell: 5.7580 5.7580 5.7580 Å, 90.00 90.00 90.00°
Positions (direct):
B (0.0000, 0.0000, 0.0000)
Sb (0.5000, 0.5000, 0.5000)
Te (0.0000, 0.5000, 0.5000)
Te (0.5000, 0.0000, 0.5000)
Te (0.5000, 0.5000, 0.0000)

The following is a DFT calculation (GGA-PBE) of crystalline TiB2SbTe at its relaxed geometry.

## Properties
Energy relative to the elements, uncorrected ... 1.679 eV/atom
Space-group type ... No. 123

Cell: 4.3432 4.3432 5.9923 Å, 90.00 90.00 90.00°
Positions (direct):
Ti (0.0000, 0.0000, 0.0000)
B (0.0000, 0.5000, 0.5000)
B (0.5000, 0.0000, 0.5000)
Sb (0.5000, 0.5000, 0.5000)
Te (0.5000, 0.5000, 0.0000)

The following is a DFT calculation (GGA-PBE) of crystalline TlBSb2Te at its relaxed geometry.

## Properties
Polymorph energy (0 for the lowest one) ... 5.73 eV/f.u.
Energy relative to the elements, uncorrected ... 1.744 eV/atom
Space-group type ... No. 123

Cell: 5.6872 5.6872 5.8419 Å, 90.00 90.00 90.00°
Positions (direct):
Tl (0.0000, 0.0000, 0.0000)
B (0.5000, 0.5000, 0.5000)
Sb (0.0000, 0.5000, 0.0000)
Sb (0.5000, 0.0000, 0.0000)
Te (0.0000, 0.0000, 0.5000)

The following is a DFT calculation (GGA-PBE) of crystalline TlBSbTe2 at its relaxed geometry.

## Properties
Polymorph energy (0 for the lowest one) ... 0.00 eV/f.u.
Energy relative to the elements, uncorrected ... 0.549 eV/atom
Space-group type ... No. 123

Cell: 5.1255 5.1255 4.8792 Å, 90.00 90.00 90.00°
Positions (direct):
Tl (0.0000, 0.0000, 0.0000)
B (0.5000, 0.5000, 0.5000)
Sb (0.5000, 0.5000, 0.0000)
Te (0.0000, 0.5000, 0.5000)
Te (0.5000, 0.0000, 0.5000)

The following is a DFT calculation (GGA-PBE) of crystalline Tl2BSbTe at its relaxed geometry.

## Properties
Energy relative to the elements, uncorrected ... 1.401 eV/atom
Space-group type ... No. 123

Cell: 6.4136 6.4136 5.7984 Å, 90.00 90.00 90.00°
Positions (direct):
Tl (0.0000, 0.5000, 0.0000)
Tl (0.5000, 0.0000, 0.0000)
B (0.0000, 0.0000, 0.5000)
Sb (0.5000, 0.5000, 0.5000)
Te (0.5000, 0.5000, 0.0000)

The following is a DFT calculation (GGA-PBE) of crystalline TlBSb2Te at its relaxed geometry.

## Properties
Polymorph energy (0 for the lowest one) ... 0.00 eV/f.u.
Energy relative to the elements, uncorrected ... 0.598 eV/atom
Space-group type ... No. 123

Cell: 4.9704 4.9704 5.1058 Å, 90.00 90.00 90.00°
Positions (direct):
Tl (0.0000, 0.0000, 0.0000)
B (0.5000, 0.5000, 0.5000)
Sb (0.0000, 0.5000, 0.5000)
Sb (0.5000, 0.0000, 0.5000)
Te (0.5000, 0.5000, 0.0000)

The following is a DFT calculation (GGA-PBE) of crystalline TlBSbTe2 at its relaxed geometry.

## Properties
Polymorph energy (0 for the lowest one) ... 5.48 eV/f.u.
Energy relative to the elements, uncorrected ... 1.645 eV/atom
Space-group type ... No. 123

Cell: 5.8265 5.8265 5.6725 Å, 90.00 90.00 90.00°
Positions (direct):
Tl (0.0000, 0.0000, 0.0000)
B (0.5000, 0.5000, 0.5000)
Sb (0.0000, 0.0000, 0.5000)
Te (0.0000, 0.5000, 0.0000)
Te (0.5000, 0.0000, 0.0000)

The following is a DFT calculation (GGA-PBE) of crystalline VBSb2Te at its relaxed geometry.

## Properties
Polymorph energy (0 for the lowest one) ... 0.44 eV/f.u.
Energy relative to the elements, uncorrected ... 1.172 eV/atom
Space-group type ... No. 123

Cell: 5.1037 5.1037 5.1416 Å, 90.00 90.00 90.00°
Positions (direct):
V (0.0000, 0.0000, 0.0000)
B (0.5000, 0.5000, 0.5000)
Sb (0.0000, 0.5000, 0.0000)
Sb (0.5000, 0.0000, 0.0000)
Te (0.0000, 0.0000, 0.5000)

The following is a DFT calculation (GGA-PBE) of crystalline VBSb2Te at its relaxed geometry.

## Properties
Polymorph energy (0 for the lowest one) ... 0.00 eV/f.u.
Energy relative to the elements, uncorrected ... 1.084 eV/atom
Space-group type ... No. 123

Cell: 4.7627 4.7627 4.7632 Å, 90.00 90.00 90.00°
Positions (direct):
V (0.0000, 0.0000, 0.0000)
B (0.5000, 0.5000, 0.5000)
Sb (0.0000, 0.5000, 0.5000)
Sb (0.5000, 0.0000, 0.5000)
Te (0.5000, 0.5000, 0.0000)

The following is a DFT calculation (GGA-PBE) of crystalline VBSbTe2 at its relaxed geometry.

## Properties
Polymorph energy (0 for the lowest one) ... 1.35 eV/f.u.
Energy relative to the elements, uncorrected ... 1.145 eV/atom
Space-group type ... No. 123

Cell: 5.1613 5.1613 5.1443 Å, 90.00 90.00 90.00°
Positions (direct):
V (0.0000, 0.0000, 0.0000)
B (0.5000, 0.5000, 0.5000)
Sb (0.0000, 0.0000, 0.5000)
Te (0.0000, 0.5000, 0.0000)
Te (0.5000, 0.0000, 0.0000)

The following is a DFT calculation (GGA-PBE) of crystalline VBSbTe2 at its relaxed geometry.

## Properties
Polymorph energy (0 for the lowest one) ... 0.00 eV/f.u.
Energy relative to the elements, uncorrected ... 0.876 eV/atom
Space-group type ... No. 123

Cell: 4.8588 4.8588 4.7325 Å, 90.00 90.00 90.00°
Positions (direct):
V (0.0000, 0.0000, 0.0000)
B (0.5000, 0.5000, 0.5000)
Sb (0.5000, 0.5000, 0.0000)
Te (0.0000, 0.5000, 0.5000)
Te (0.5000, 0.0000, 0.5000)

The following is a DFT calculation (GGA-PBE) of crystalline BSbTeW2 at its relaxed geometry.

## Properties
Energy relative to the elements, uncorrected ... 2.287 eV/atom
Space-group type ... No. 123

Cell: 5.0750 5.0750 4.1470 Å, 90.00 90.00 90.00°
Positions (direct):
B (0.0000, 0.0000, 0.0000)
Sb (0.5000, 0.5000, 0.0000)
Te (0.0000, 0.0000, 0.5000)
W (0.0000, 0.5000, 0.5000)
W (0.5000, 0.0000, 0.5000)

The following is a DFT calculation (GGA-PBE) of crystalline YB2SbTe at its relaxed geometry.

## Properties
Energy relative to the elements, uncorrected ... 1.241 eV/atom
Space-group type ... No. 123

Cell: 4.4583 4.4583 6.0163 Å, 90.00 90.00 90.00°
Positions (direct):
Y (0.0000, 0.0000, 0.0000)
B (0.0000, 0.5000, 0.5000)
B (0.5000, 0.0000, 0.5000)
Sb (0.5000, 0.5000, 0.0000)
Te (0.5000, 0.5000, 0.5000)

The following is a DFT calculation (GGA-PBE) of crystalline ZnBSbTe2 at its relaxed geometry.

## Properties
Polymorph energy (0 for the lowest one) ... 2.90 eV/f.u.
Energy relative to the elements, uncorrected ... 1.310 eV/atom
Space-group type ... No. 123

Cell: 5.3797 5.3797 5.0637 Å, 90.00 90.00 90.00°
Positions (direct):
Zn (0.0000, 0.0000, 0.0000)
B (0.5000, 0.5000, 0.5000)
Sb (0.0000, 0.0000, 0.5000)
Te (0.0000, 0.5000, 0.0000)
Te (0.5000, 0.0000, 0.0000)

The following is a DFT calculation (GGA-PBE) of crystalline ZnBSbTe2 at its relaxed geometry.

## Properties
Polymorph energy (0 for the lowest one) ... 0.00 eV/f.u.
Energy relative to the elements, uncorrected ... 0.729 eV/atom
Space-group type ... No. 123

Cell: 4.9113 4.9113 4.8538 Å, 90.00 90.00 90.00°
Positions (direct):
Zn (0.0000, 0.0000, 0.0000)
B (0.5000, 0.5000, 0.5000)
Sb (0.5000, 0.5000, 0.0000)
Te (0.0000, 0.5000, 0.5000)
Te (0.5000, 0.0000, 0.5000)

The following is a DFT calculation (GGA-PBE) of crystalline ZrBSbTe2 at its relaxed geometry.

## Properties
Polymorph energy (0 for the lowest one) ... 0.00 eV/f.u.
Energy relative to the elements, uncorrected ... 0.513 eV/atom
Space-group type ... No. 123

Cell: 4.8465 4.8465 4.8178 Å, 90.00 90.00 90.00°
Positions (direct):
Zr (0.0000, 0.0000, 0.0000)
B (0.5000, 0.5000, 0.5000)
Sb (0.5000, 0.5000, 0.0000)
Te (0.0000, 0.5000, 0.5000)
Te (0.5000, 0.0000, 0.5000)

The following is a DFT calculation (GGA-PBE) of crystalline ZrBSb2Te at its relaxed geometry.

## Properties
Polymorph energy (0 for the lowest one) ... 0.00 eV/f.u.
Energy relative to the elements, uncorrected ... 0.569 eV/atom
Space-group type ... No. 123

Cell: 4.8392 4.8392 4.8047 Å, 90.00 90.00 90.00°
Positions (direct):
Zr (0.0000, 0.0000, 0.0000)
B (0.5000, 0.5000, 0.5000)
Sb (0.0000, 0.5000, 0.5000)
Sb (0.5000, 0.0000, 0.5000)
Te (0.5000, 0.5000, 0.0000)

The following is a DFT calculation (GGA-PBE) of crystalline ZrBSb2Te at its relaxed geometry.

## Properties
Polymorph energy (0 for the lowest one) ... 2.56 eV/f.u.
Energy relative to the elements, uncorrected ... 1.082 eV/atom
Space-group type ... No. 123

Cell: 5.5571 5.5571 5.5565 Å, 90.00 90.00 90.00°
Positions (direct):
Zr (0.0000, 0.0000, 0.0000)
B (0.5000, 0.5000, 0.5000)
Sb (0.0000, 0.5000, 0.0000)
Sb (0.5000, 0.0000, 0.0000)
Te (0.0000, 0.0000, 0.5000)

The following is a DFT calculation (GGA-PBE) of crystalline ZrBSb2Te at its relaxed geometry.

## Properties
Polymorph energy (0 for the lowest one) ... 3.17 eV/f.u.
Energy relative to the elements, uncorrected ... 1.204 eV/atom
Space-group type ... No. 123

Cell: 5.6717 5.6717 4.2935 Å, 90.00 90.00 90.00°
Positions (direct):
Zr (0.0000, 0.0000, 0.0000)
B (0.5000, 0.5000, 0.0000)
Sb (0.0000, 0.5000, 0.5000)
Sb (0.5000, 0.0000, 0.5000)
Te (0.5000, 0.5000, 0.5000)

The following is a DFT calculation (GGA-PBE) of crystalline ZrBSbTe2 at its relaxed geometry.

## Properties
Polymorph energy (0 for the lowest one) ... 2.20 eV/f.u.
Energy relative to the elements, uncorrected ... 0.953 eV/atom
Space-group type ... No. 123

Cell: 5.5699 5.5699 5.6080 Å, 90.00 90.00 90.00°
Positions (direct):
Zr (0.0000, 0.0000, 0.0000)
B (0.5000, 0.5000, 0.5000)
Sb (0.0000, 0.0000, 0.5000)
Te (0.0000, 0.5000, 0.0000)
Te (0.5000, 0.0000, 0.0000)

The following is a DFT calculation (GGA-PBE) of crystalline Th4BSb2 at its relaxed geometry.

## Properties
Energy relative to the elements, uncorrected ... -0.432 eV/atom
Space-group type ... No. 139

Cell: 9.0529 9.0529 9.0529 Å, 148.15 148.15 45.66°
Positions (direct):
Th (0.0000, 0.5000, 0.5000)
Th (0.1628, 0.1628, 0.0000)
Th (0.5000, 0.0000, 0.5000)
Th (0.8372, 0.8372, 0.0000)
B (0.0000, 0.0000, 0.0000)
Sb (0.3599, 0.3599, 0.0000)
Sb (0.6401, 0.6401, 0.0000)

The following is a DFT calculation (GGA-PBE) of crystalline ThBSb at its relaxed geometry.

## Properties
Energy relative to the elements, uncorrected ... -0.080 eV/atom
Space-group type ... No. 1

Cell: 3.9045 3.9063 10.2296 Å, 94.51 99.18 111.35°
Positions (direct):
Th (0.0000, 0.0000, 0.0000)
Th (0.0611, 0.6103, 0.6678)
B (0.5612, 0.2846, 0.8451)
B (0.7384, 0.0280, 0.7644)
Sb (0.2848, 0.1432, 0.4175)
Sb (0.5155, 0.7115, 0.2287)